Entry 1:
Density functional theory data (PBE-GGA) for a geometry-optimized Mn2NbPt2 structure.

Results
For the calculated volume, the calculation gives 147 Å³ per cell. The density of states at the Fermi level comes out at 12.2 states/eV per cell. The total energy is -8.254 eV/atom. The formation energy is -156 meV/atom. For the energy above the most stable polymorph in this dataset, the calculation gives 0 meV/atom.

abc: 7.318 7.318 2.747
angles: 90.00 90.00 90.00
Space group P4/mbm (No. 127)
One atom of each set of equivalent atoms:
Mn 0.115 0.385 0.000 [4 per cell]
Nb 0.000 0.000 0.000 [2 per cell]
Pt 0.179 0.679 0.500 [4 per cell]



Entry 2:
Density functional theory data (PBE-GGA) for a geometry-optimized Mg2ScNi structure.

Results
For the calculated volume, the calculation gives 152 Å³ per cell. The density of states at the Fermi level comes out at 5.5 states/eV per cell. The total energy is -3.715 eV/atom. The formation energy is 110 meV/atom.

abc: 5.583 9.185 2.962
angles: 90.00 90.00 90.00
Space group Cmmm (No. 65)
One atom of each set of equivalent atoms:
Mg 0.250 0.250 0.000 [4 per cell]
Sc 0.000 0.000 0.500 [2 per cell]
Ni 0.000 0.500 0.500 [2 per cell]



Entry 3:
Density functional theory data (PBE-GGA) for a geometry-optimized ZrCdCl2 structure.

Results
For the calculated volume, the calculation gives 86 Å³ per cell. The density of states at the Fermi level comes out at 2.7 states/eV per cell. The total energy is -3.739 eV/atom. For the energy above the most stable polymorph in this dataset, the calculation gives 623 meV/atom.

abc: 3.263 4.567 5.757
angles: 90.00 90.00 90.00
Space group Pmmm (No. 47)
One atom of each set of equivalent atoms:
Zr 0.000 0.000 0.000 [1 per cell]
Cd 0.500 0.000 0.500 [1 per cell]
Cl 0.000 0.500 0.500 [1 per cell]
Cl 0.500 0.500 0.000 [1 per cell]



Entry 4:
Density functional theory data (PBE-GGA) for a geometry-optimized Ce2MgOs structure.

Results
For the calculated volume, the calculation gives 90 Å³ per cell. The density of states at the Fermi level comes out at 6.0 states/eV per cell. The total energy is -6.149 eV/atom. The formation energy is 24 meV/atom.

abc: 4.822 4.822 3.881
angles: 90.00 90.00 90.00
Space group P4/mmm (No. 123)
One atom of each set of equivalent atoms:
Ce 0.000 0.500 0.000 [2 per cell]
Mg 0.000 0.000 0.500 [1 per cell]
Os 0.500 0.500 0.500 [1 per cell]



Entry 5:
Density functional theory data (PBE-GGA) for a geometry-optimized LiV2Mo structure.

Results
For the calculated volume, the calculation gives 229 Å³ per cell. The density of states at the Fermi level comes out at 13.6 states/eV per cell. The total energy is -7.049 eV/atom. The formation energy is 696 meV/atom. For the energy above the most stable polymorph in this dataset, the calculation gives 417 meV/atom.

abc: 6.692 6.692 5.111
angles: 90.00 90.00 90.00
Space group I-42d (No. 122)
One atom of each set of equivalent atoms:
Li 0.000 0.000 0.000 [4 per cell]
V 0.242 0.250 0.125 [8 per cell]
Mo 0.000 0.000 0.500 [4 per cell]



Entry 6:
Density functional theory data (PBE-GGA) for a geometry-optimized AcLa2Ga2Pd7 structure.

Results
For the calculated volume, the calculation gives 506 Å³ per cell. The density of states at the Fermi level comes out at 8.2 states/eV per cell. The total energy is -5.469 eV/atom. The formation energy is -771 meV/atom.

abc: 6.017 5.931 14.337
angles: 90.00 98.56 90.00
Space group C2/m (No. 12)
One atom of each set of equivalent atoms:
Ac 0.000 0.000 0.000 [2 per cell]
La 0.114 0.000 0.359 [4 per cell]
Ga 0.088 0.500 0.255 [4 per cell]
Pd 0.000 0.500 0.000 [2 per cell]
Pd 0.133 0.500 0.431 [4 per cell]
Pd 0.195 0.250 0.840 [8 per cell]



Entry 7:
Density functional theory data (PBE-GGA) for a geometry-optimized Li3Mg structure.

Results
For the calculated volume, the calculation gives 496 Å³ per cell. The density of states at the Fermi level comes out at 8.9 states/eV per cell. The total energy is -1.805 eV/atom. The formation energy is 29 meV/atom.

abc: 8.2377 8.2377 8.4465
angles: 90.00 90.00 120.00
Space group P6_3cm (No. 185)
One atom of each set of equivalent atoms:
Li 0.0000 0.0000 0.1122 [2 per cell]
Li 0.0000 0.2691 0.3274 [6 per cell]
Li 0.0000 0.3180 0.0000 [6 per cell]
Li 0.3333 0.6667 0.3861 [4 per cell]
Mg 0.0000 0.3770 0.6597 [6 per cell]



Entry 8:
Density functional theory data (PBE-GGA) for a geometry-optimized NaNd2Ge4Pt3 structure.

Results
For the calculated volume, the calculation gives 201 Å³ per cell. The density of states at the Fermi level comes out at 5.4 states/eV per cell. The total energy is -5.486 eV/atom. The formation energy is -742 meV/atom.

abc: 4.378 4.378 10.490
angles: 90.00 90.00 90.00
Space group P-4m2 (No. 115)
One atom of each set of equivalent atoms:
Na 0.000 0.000 0.000 [1 per cell]
Nd 0.000 0.500 0.744 [2 per cell]
Ge 0.000 0.000 0.500 [1 per cell]
Ge 0.000 0.500 0.146 [2 per cell]
Ge 0.500 0.500 0.500 [1 per cell]
Pt 0.000 0.500 0.380 [2 per cell]
Pt 0.500 0.500 0.000 [1 per cell]



Entry 9:
Density functional theory data (PBE-GGA) for a geometry-optimized BeHgOs2 structure.

Results
For the calculated volume, the calculation gives 58 Å³ per cell. The density of states at the Fermi level comes out at 3.2 states/eV per cell. The total energy is -6.179 eV/atom. The formation energy is 443 meV/atom. For the energy above the most stable polymorph in this dataset, the calculation gives 173 meV/atom.

abc: 2.873 2.873 6.994
angles: 90.00 90.00 90.00
Space group P4/mmm (No. 123)
One atom of each set of equivalent atoms:
Be 0.000 0.000 0.000 [1 per cell]
Hg 0.000 0.000 0.500 [1 per cell]
Os 0.500 0.500 0.179 [2 per cell]



Entry 10:
Density functional theory data (PBE-GGA) for a geometry-optimized CeTh3In4 structure.

Results
For the calculated volume, the calculation gives 226 Å³ per cell. The density of states at the Fermi level comes out at 11.4 states/eV per cell. The total energy is -5.200 eV/atom. The formation energy is -307 meV/atom.

abc: 4.658 4.929 9.847
angles: 90.00 90.00 90.00
Space group Pmmm (No. 47)
One atom of each set of equivalent atoms:
Ce 0.000 0.000 0.000 [1 per cell]
Th 0.000 0.000 0.500 [1 per cell]
Th 0.000 0.500 0.248 [2 per cell]
In 0.500 0.000 0.247 [2 per cell]
In 0.500 0.500 0.000 [1 per cell]
In 0.500 0.500 0.500 [1 per cell]



Entry 11:
Density functional theory data (PBE-GGA) for a geometry-optimized Pu2ZnSiPt6 structure.

Results
For the calculated volume, the calculation gives 809 Å³ per cell. The density of states at the Fermi level comes out at 148.7 states/eV per cell. The total energy is -7.454 eV/atom.

abc: 9.319 9.319 9.319
angles: 90.00 90.00 90.00
Space group Fm-3m (No. 225)
One atom of each set of equivalent atoms:
Pu 0.250 0.250 0.250 [8 per cell]
Zn 0.000 0.000 0.000 [4 per cell]
Si 0.000 0.000 0.500 [4 per cell]
Pt 0.000 0.000 0.256 [24 per cell]



Entry 12:
Density functional theory data (PBE-GGA) for a geometry-optimized Cs6TeSeI2 structure.

Results
For the calculated volume, the calculation gives 1304 Å³ per cell. The total energy is -2.674 eV/atom.

abc: 16.622 9.800 9.706
angles: 90.00 124.46 90.00
Space group C2/m (No. 12)
One atom of each set of equivalent atoms:
Cs 0.079 0.245 0.337 [8 per cell]
Cs 0.240 0.000 0.877 [4 per cell]
Te 0.000 0.500 0.000 [2 per cell]
Se 0.000 0.000 0.500 [2 per cell]
I 0.247 0.500 0.712 [4 per cell]



Entry 13:
Density functional theory data (PBE-GGA) for a geometry-optimized Hf3ZnRe structure.

Results
For the calculated volume, the calculation gives 109 Å³ per cell. The density of states at the Fermi level comes out at 7.5 states/eV per cell. The total energy is -7.581 eV/atom. The formation energy is 1136 meV/atom. For the energy above the most stable polymorph in this dataset, the calculation gives 430 meV/atom.

abc: 4.780 4.780 4.780
angles: 90.00 90.00 90.00
Space group Pm-3m (No. 221)
One atom of each set of equivalent atoms:
Hf 0.000 0.000 0.500 [3 per cell]
Zn 0.000 0.000 0.000 [1 per cell]
Re 0.500 0.500 0.500 [1 per cell]



Entry 14:
Density functional theory data (PBE-GGA) for a geometry-optimized CeSmTm3 structure.

Results
For the calculated volume, the calculation gives 611 Å³ per cell. The density of states at the Fermi level comes out at 34.2 states/eV per cell. The total energy is -4.767 eV/atom. The formation energy is 47 meV/atom. For the energy above the most stable polymorph in this dataset, the calculation gives 0 meV/atom.

abc: 9.940 3.515 17.500
angles: 90.00 90.00 90.00
Space group Pnma (No. 62)
One atom of each set of equivalent atoms:
Ce 0.119 0.250 0.049 [4 per cell]
Sm 0.125 0.250 0.649 [4 per cell]
Tm 0.122 0.250 0.851 [4 per cell]
Tm 0.127 0.250 0.250 [4 per cell]
Tm 0.130 0.250 0.450 [4 per cell]



Entry 15:
Density functional theory data (PBE-GGA) for a geometry-optimized BeHgBr structure.

Results
For the calculated volume, the calculation gives 69 Å³ per cell. The density of states at the Fermi level comes out at 0.2 states/eV per cell. The total energy is -1.909 eV/atom. For the energy above the most stable polymorph in this dataset, the calculation gives 0 meV/atom.

abc: 3.5497 3.5497 6.2921
angles: 90.00 90.00 120.00
Space group P3m1 (No. 156)
One atom of each set of equivalent atoms:
Be 0.0000 0.0000 0.0000 [1 per cell]
Hg 0.3333 0.6667 0.7574 [1 per cell]
Br 0.6667 0.3333 0.2142 [1 per cell]



Entry 16:
Density functional theory data (PBE-GGA) for a geometry-optimized Te5C structure.

Results
For the calculated volume, the calculation gives 696 Å³ per cell. The density of states at the Fermi level comes out at 29.6 states/eV per cell. The total energy is -2.625 eV/atom. For the energy above the most stable polymorph in this dataset, the calculation gives 888 meV/atom.

abc: 8.864 8.864 8.864
angles: 90.00 90.00 90.00
Space group F-43m (No. 216)
One atom of each set of equivalent atoms:
Te 0.000 0.000 0.000 [4 per cell]
Te 0.126 0.126 0.626 [16 per cell]
C 0.250 0.250 0.250 [4 per cell]



Entry 17:
Density functional theory data (PBE-GGA) for a geometry-optimized Rb2TlCuF6 structure.

Results
For the calculated volume, the calculation gives 687 Å³ per cell. The density of states at the Fermi level comes out at 15.5 states/eV per cell. The total energy is -4.102 eV/atom.

abc: 8.826 8.826 8.826
angles: 90.00 90.00 90.00
Space group Fm-3m (No. 225)
One atom of each set of equivalent atoms:
Rb 0.250 0.250 0.250 [8 per cell]
Tl 0.000 0.000 0.000 [4 per cell]
Cu 0.000 0.000 0.500 [4 per cell]
F 0.000 0.000 0.267 [24 per cell]



Entry 18:
Density functional theory data (PBE-GGA) for a geometry-optimized Li4Hf3CuTe8 structure.

Results
For the calculated volume, the calculation gives 1209 Å³ per cell. The density of states at the Fermi level comes out at 14.7 states/eV per cell. The total energy is -4.909 eV/atom.

abc: 8.1710 8.1710 20.9039
angles: 90.00 90.00 120.00
Space group R-3m (No. 166, hexagonal axes)
One atom of each set of equivalent atoms:
Li 0.0000 0.0000 0.0000 [3 per cell]
Li 0.0000 0.5000 0.0000 [9 per cell]
Hf 0.0000 0.5000 0.5000 [9 per cell]
Cu 0.0000 0.0000 0.5000 [3 per cell]
Te 0.0000 0.0000 0.2493 [6 per cell]
Te 0.0046 0.5023 0.2461 [18 per cell]



Entry 19:
Density functional theory data (PBE-GGA) for a geometry-optimized Nd4Zn3Ag structure.

Results
For the calculated volume, the calculation gives 203 Å³ per cell. The density of states at the Fermi level comes out at 8.6 states/eV per cell. The total energy is -3.518 eV/atom. The formation energy is -300 meV/atom. For the energy above the most stable polymorph in this dataset, the calculation gives 0 meV/atom.

abc: 3.716 3.716 14.718
angles: 90.00 90.00 90.00
Space group P4/mmm (No. 123)
One atom of each set of equivalent atoms:
Nd 0.000 0.000 0.124 [2 per cell]
Nd 0.000 0.000 0.368 [2 per cell]
Zn 0.500 0.500 0.000 [1 per cell]
Zn 0.500 0.500 0.245 [2 per cell]
Ag 0.500 0.500 0.500 [1 per cell]



Entry 20:
Density functional theory data (PBE-GGA) for a geometry-optimized PrEuBr2 structure.

Results
For the calculated volume, the calculation gives 413 Å³ per cell. The density of states at the Fermi level comes out at 10.5 states/eV per cell. The total energy is -5.781 eV/atom.

abc: 3.9509 3.9509 30.5661
angles: 90.00 90.00 120.00
Space group R-3m (No. 166, hexagonal axes)
One atom of each set of equivalent atoms:
Pr 0.0000 0.0000 0.0000 [3 per cell]
Eu 0.0000 0.0000 0.5000 [3 per cell]
Br 0.0000 0.0000 0.0988 [6 per cell]



Entry 21:
Density functional theory data (PBE-GGA) for a geometry-optimized SrDyTe3Au structure.

Results
For the calculated volume, the calculation gives 380 Å³ per cell. The total energy is -4.355 eV/atom.

abc: 8.640 4.383 10.346
angles: 90.00 104.14 90.00
Space group P2_1/m (No. 11)
One atom of each set of equivalent atoms:
Sr 0.210 0.250 0.276 [2 per cell]
Dy 0.317 0.750 0.831 [2 per cell]
Te 0.077 0.250 0.861 [2 per cell]
Te 0.274 0.750 0.530 [2 per cell]
Te 0.425 0.750 0.145 [2 per cell]
Au 0.089 0.250 0.594 [2 per cell]



Entry 22:
Density functional theory data (PBE-GGA) for a geometry-optimized LiThTcN3 structure.

Results
For the calculated volume, the calculation gives 144 Å³ per cell. The density of states at the Fermi level comes out at 4.7 states/eV per cell. The total energy is -8.198 eV/atom.

abc: 5.835 3.391 7.704
angles: 90.00 109.28 90.00
Space group P2_1/m (No. 11)
One atom of each set of equivalent atoms:
Li 0.092 0.250 0.415 [2 per cell]
Th 0.470 0.750 0.746 [2 per cell]
Tc 0.019 0.250 0.879 [2 per cell]
N 0.180 0.250 0.680 [2 per cell]
N 0.248 0.750 0.991 [2 per cell]
N 0.288 0.750 0.349 [2 per cell]



Entry 23:
Density functional theory data (PBE-GGA) for a geometry-optimized SrNiBi3 structure.

Results
For the calculated volume, the calculation gives 289 Å³ per cell. The density of states at the Fermi level comes out at 4.6 states/eV per cell. The total energy is -4.138 eV/atom. The formation energy is -316 meV/atom. For the energy above the most stable polymorph in this dataset, the calculation gives 0 meV/atom.

abc: 7.001 6.468 6.386
angles: 90.00 90.00 90.00
Space group Pmn2_1 (No. 31)
One atom of each set of equivalent atoms:
Sr 0.000 0.147 0.000 [2 per cell]
Ni 0.000 0.599 0.744 [2 per cell]
Bi 0.000 0.884 0.457 [2 per cell]
Bi 0.244 0.343 0.545 [4 per cell]